This record from Alexandria describes BaYCdAg after structural relaxation. The functional is PBE.

Lattice parameters (Å, degrees): 5.570 5.570 5.570 60.00 60.00 60.00
Sites, in units of the cell vectors:
Cd: 0.000 0.000 0.000
Ag: 0.500 0.500 0.500
Y: 0.750 0.750 0.750
Ba: 0.250 0.250 0.250

Summary:
* formation energy from the elements: -3.310 kcal/mol of atoms
* N(E_F): 3.802 states/eV/f.u.
* DFT total energy: -3.1818 eV/atom

This record from Alexandria describes Tb4PrTh after structural relaxation. The functional is PBE.

Lattice parameters (Å, degrees): 6.595 6.595 6.595 60.00 60.00 60.00
Each line ends with the local moment (μB).
Sites, in units of the cell vectors:
Tb: 0.128 0.624 0.624  0.16
Pr: 0.000 0.000 0.000  0.35
Tb: 0.624 0.624 0.624  0.16
Tb: 0.624 0.624 0.128  0.16
Tb: 0.624 0.128 0.624  0.16
Th: 0.250 0.250 0.250  0.32

Summary:
* formation energy from the elements: 7.534 kcal/mol of atoms
* N(E_F): 13.693 states/eV/f.u.
* DFT total energy: -4.7933 eV/atom

This record from Alexandria describes Nd6SmZn after structural relaxation. The functional is PBE.

Lattice parameters (Å, degrees): 8.642 8.632 6.452 47.97 47.92 67.32
Sites, in units of the cell vectors:
Nd: 0.764 0.046 0.766
Nd: 0.236 0.954 0.234
Sm: 0.500 0.500 0.500
Nd: 0.954 0.425 0.857
Nd: 0.046 0.575 0.143
Nd: 0.576 0.764 0.706
Nd: 0.424 0.236 0.294
Zn: 0.000 0.000 0.000

Summary:
* formation energy from the elements: 0.578 kcal/mol of atoms
* N(E_F): 10.225 states/eV/f.u.
* DFT total energy: -4.3000 eV/atom